Here is crystalline LiAs2Rh2 at its relaxed geometry from Alexandria. Energies are from PBE.

POSCAR file:
```
LiAs2Rh2
1.0
4.3041 0.0000 0.0000
1.0706 5.7022 0.0000
1.3712 0.9795 6.4787
Li As Rh
2 4 4
Direct
0.1313 0.3629 0.2924
0.8687 0.6371 0.7076
0.1184 0.7530 0.9827
0.4166 0.7655 0.4927
0.5834 0.2345 0.5073
0.8816 0.2470 0.0173
0.0570 0.1047 0.6741
0.4144 0.3774 0.8460
0.5856 0.6226 0.1540
0.9430 0.8953 0.3259
```

Output
E in eV/atom: -5.664
Energy above the most stable polymorph in this dataset in meV/atom: 48
ΔE_f in eV per atom: -0.481
Volume in Å³/atom: 15.900

***

Here is crystalline PrAg3Pd2 at its relaxed geometry from Alexandria. Energies are from PBE.

POSCAR file:
```
PrAg3Pd2
1.0
3.3120 -4.2184 0.0000
3.3120 4.2184 0.0000
-1.2477 0.0000 8.5452
Pr Ag Pd
2 6 4
Direct
0.1453 0.8547 0.7500
0.8547 0.1453 0.2500
0.1944 0.3821 0.9634
0.3821 0.1944 0.4634
0.4580 0.5420 0.2500
0.5420 0.4580 0.7500
0.6179 0.8056 0.5366
0.8056 0.6179 0.0366
0.0413 0.6946 0.3771
0.3054 0.9587 0.1229
0.6946 0.0413 0.8771
0.9587 0.3054 0.6229
```

Output
E in eV/atom: -4.231
ΔE_f in eV per atom: -0.278
Volume in Å³/atom: 19.898